(1)
The following is a DFT calculation (PBE) of YBNF2 after structural relaxation. Values from VASP.

```
&SYSTEM
  ibrav = 0, nat = 5, ntyp = 4
/
ATOMIC_SPECIES
F 19.00 F.upf
N 14.01 N.upf
B 10.81 B.upf
Y 88.91 Y.upf
CELL_PARAMETERS angstrom
-0.208 1.047 -4.179
-3.676 -2.226 -0.374
-2.468 3.892 1.098
ATOMIC_POSITIONS angstrom
F -0.104 0.524 -2.090
N -1.234 1.946 0.549
F -1.838 -1.113 -0.187
B -3.176 1.357 -1.728
Y 0.000 0.000 0.000
```

Output
total energy = -5.7697 eV per atom
space group = P4/mmm (123)
offset from the most stable computed form = 970.3 meV per atom



(2)
The following is a DFT calculation (PBE) of YBNF2 after structural relaxation. Values from VASP.

```
&SYSTEM
  ibrav = 0, nat = 5, ntyp = 4
/
ATOMIC_SPECIES
F 19.00 F.upf
Y 88.91 Y.upf
B 10.81 B.upf
N 14.01 N.upf
CELL_PARAMETERS angstrom
4.427 0.000 0.000
0.000 4.427 0.000
0.000 0.000 2.781
ATOMIC_POSITIONS angstrom
F 2.213 0.000 0.000
Y 2.213 2.213 1.391
B 0.000 0.000 0.000
N 0.000 0.000 1.391
F 0.000 2.213 0.000
```

Output
total energy = -6.7400 eV per atom
space group = P4/mmm (123)
offset from the most stable computed form = 0.0 meV per atom



(3)
The following is a DFT calculation (PBE) of ZnBN2F after structural relaxation. Values from VASP.

```
&SYSTEM
  ibrav = 0, nat = 5, ntyp = 4
/
ATOMIC_SPECIES
F 19.00 F.upf
B 10.81 B.upf
Zn 65.41 Zn.upf
N 14.01 N.upf
CELL_PARAMETERS angstrom
-2.223 -0.731 -2.027
-0.609 -2.580 1.598
-3.385 2.533 2.799
ATOMIC_POSITIONS angstrom
F -1.693 1.266 1.400
B 0.000 0.000 0.000
Zn -3.109 -0.389 1.185
N -1.111 -0.365 -1.013
N -0.305 -1.290 0.799
```

Output
total energy = -5.0144 eV per atom
space group = P4/mmm (123)
offset from the most stable computed form = 0.0 meV per atom



(4)
The following is a DFT calculation (PBE) of ZnBN2F after structural relaxation. Values from VASP.

```
&SYSTEM
  ibrav = 0, nat = 5, ntyp = 4
/
ATOMIC_SPECIES
N 14.01 N.upf
B 10.81 B.upf
F 19.00 F.upf
Zn 65.41 Zn.upf
CELL_PARAMETERS angstrom
-2.407 -0.246 3.117
-0.114 -3.925 -0.397
3.280 -0.349 2.505
ATOMIC_POSITIONS angstrom
N -0.057 -1.962 -0.199
B 0.379 -2.260 2.613
N -1.204 -0.123 1.559
F 1.640 -0.174 1.253
Zn 0.000 0.000 0.000
```

Output
total energy = -3.5453 eV per atom
space group = P4/mmm (123)
offset from the most stable computed form = 1469.1 meV per atom



(5)
The following is a DFT calculation (PBE) of ZrBN2F after structural relaxation. Values from VASP.

```
&SYSTEM
  ibrav = 0, nat = 5, ntyp = 4
/
ATOMIC_SPECIES
B 10.81 B.upf
Zr 91.22 Zr.upf
N 14.01 N.upf
F 19.00 F.upf
CELL_PARAMETERS angstrom
-4.021 -1.329 0.295
0.735 -1.347 3.958
-1.130 3.746 1.484
ATOMIC_POSITIONS angstrom
B -2.208 0.535 2.869
Zr 0.000 0.000 0.000
N 0.368 -0.673 1.979
F -0.565 1.873 0.742
N -2.011 -0.665 0.147
```

Output
total energy = -6.2885 eV per atom
space group = P4/mmm (123)
offset from the most stable computed form = 1850.9 meV per atom



(6)
The following is a DFT calculation (PBE) of ZrBN2F after structural relaxation. Values from VASP.

```
&SYSTEM
  ibrav = 0, nat = 5, ntyp = 4
/
ATOMIC_SPECIES
N 14.01 N.upf
F 19.00 F.upf
B 10.81 B.upf
Zr 91.22 Zr.upf
CELL_PARAMETERS angstrom
-2.338 2.503 0.953
-2.461 -1.508 -2.076
-0.992 -1.900 2.556
ATOMIC_POSITIONS angstrom
N -1.231 -0.754 -1.038
N -1.169 1.252 0.477
F -0.496 -0.950 1.278
B 0.000 0.000 0.000
Zr -2.896 -0.452 0.716
```

Output
total energy = -7.3474 eV per atom
space group = P4/mmm (123)
offset from the most stable computed form = 792.0 meV per atom



(7)
The following is a DFT calculation (PBE) of ZrBN2F after structural relaxation. Values from VASP.

```
&SYSTEM
  ibrav = 0, nat = 10, ntyp = 4
/
ATOMIC_SPECIES
N 14.01 N.upf
B 10.81 B.upf
F 19.00 F.upf
Zr 91.22 Zr.upf
CELL_PARAMETERS angstrom
-0.135 -3.202 1.149
5.617 -1.432 -3.329
1.630 1.898 5.480
ATOMIC_POSITIONS angstrom
N 1.691 0.314 3.594
B 4.117 -2.912 -0.062
F 1.300 -0.628 0.924
N 3.276 -2.534 0.892
N 5.421 -3.050 -0.294
Zr 5.188 -0.842 0.787
Zr 1.924 -1.895 2.513
B 2.995 0.175 3.363
F 5.812 -2.108 2.376
N 3.836 -0.203 2.408
```

Output
total energy = -8.1394 eV per atom
space group = P2_1/m (11)
offset from the most stable computed form = 0.0 meV per atom



(8)
The following is a DFT calculation (PBE) of NaB3F after structural relaxation. Values from VASP.

```
&SYSTEM
  ibrav = 0, nat = 5, ntyp = 3
/
ATOMIC_SPECIES
B 10.81 B.upf
Na 22.99 Na.upf
F 19.00 F.upf
CELL_PARAMETERS angstrom
-0.112 4.014 1.384
-4.089 0.271 -1.117
-1.144 -1.362 3.857
ATOMIC_POSITIONS angstrom
B -2.045 0.135 -0.559
Na -2.673 1.462 2.062
B -0.572 -0.681 1.929
B -0.056 2.007 0.692
F 0.000 0.000 0.000
```

Output
total energy = -2.7861 eV per atom
space group = Pm-3m (221)
offset from the most stable computed form = 0.0 meV per atom



We obtain calculated density values of 2858; 4623; 4212; 3172; 3281; 5868; 3776; 1612 kg/m3 for the records listed above, in that order.
We obtain formation energy from raw total energies values of -0.7278; -1.6981; 0.2803; 1.7494; 0.4610; -0.5978; -1.3899; 1.8584 eV/atom for the records listed above, in that order.